# SrGeSe2N

A relaxed structure of SrGeSe2N (GGA-PBE, Alexandria).

abc: 4.658 4.830 4.658
angles: 90.00 90.00 90.00
Sites, in units of the cell vectors:
Ge  0.500  0.500  0.500
Sr  0.000  0.500  0.000
Se  0.500  0.000  0.000
Se  0.000  0.000  0.500
N  0.000  0.000  0.000

Space-group type = P4/mmm
V = 104.8 Å³/f.u.
Energy relative to the elements, uncorrected = 0.18 eV/atom
Total moment = 0.000 μB per atom
Distance to the lowest polymorph of the same formula = 441 meV per atom